Record 1
LaPdRh3 after structural relaxation. Source: the Alexandria database, functional PBE.

Cell lengths 4.7985, 4.7985, 4.7985 Å; angles 90.00, 90.00, 90.00 degrees
Site moments in Bohr magnetons follow the coordinates.
Positions (direct):
Rh 0.0000 0.5000 0.0000  0.33
Rh 0.0000 0.0000 0.5000  0.68
Rh 0.5000 0.0000 0.0000  0.15
Pd 0.0000 0.0000 0.0000  0.49
La 0.5000 0.5000 0.5000  -0.02

Properties
E = -29.6 eV per cell
DOS(E_F) = 10.16 states/eV/cell
Space-group type = Pm-3m (221)
Total magnetization = 1.6 μB/cell
E_form = 0.518 eV per atom

***

Record 2
LaPd3Rh after structural relaxation. Source: the Alexandria database, functional PBE.

Cell lengths 4.8683, 4.8683, 4.8683 Å; angles 90.00, 90.00, 90.00 degrees
Site moments in Bohr magnetons follow the coordinates.
Positions (direct):
Rh 0.0000 0.0000 0.0000  0.82
Pd 0.0000 0.5000 0.0000  0.14
Pd 0.0000 0.0000 0.5000  0.34
Pd 0.5000 0.0000 0.0000  0.06
La 0.5000 0.5000 0.5000  -0.02

Properties
E = -27.0 eV per cell
DOS(E_F) = 8.30 states/eV/cell
Space-group type = Pm-3m (221)
Total magnetization = 1.3 μB/cell
E_form = 0.162 eV per atom

***

Record 3
La2PdRh2 after structural relaxation. Source: the Alexandria database, functional PBE.

Cell lengths 7.4865, 7.4865, 3.9384 Å; angles 90.00, 90.00, 90.00 degrees
Positions (direct):
Rh 0.3678 0.8678 0.0000
Rh 0.8678 0.6322 0.0000
Rh 0.6322 0.1322 0.0000
Rh 0.1322 0.3678 0.0000
Pd 0.0000 0.0000 0.0000
Pd 0.5000 0.5000 0.0000
La 0.1787 0.6787 0.5000
La 0.6787 0.8213 0.5000
La 0.8213 0.3213 0.5000
La 0.3213 0.1787 0.5000

Properties
E = -66.6 eV per cell
DOS(E_F) = 3.84 states/eV/cell
Space-group type = P4/mbm (127)
Total magnetization = 0.0 μB/cell
E_form = -0.708 eV per atom

***

Record 4
LaPd2Rh2 after structural relaxation. Source: the Alexandria database, functional PBE.

Cell lengths 4.0522, 4.0522, 6.5369 Å; angles 71.94, 71.94, 90.00 degrees
Positions (direct):
Rh 0.3977 0.3977 0.2045
Rh 0.6023 0.6023 0.7955
Pd 0.7500 0.2500 0.5000
Pd 0.2500 0.7500 0.5000
La 0.0000 0.0000 0.0000

Properties
E = -31.4 eV per cell
DOS(E_F) = 8.10 states/eV/cell
Space-group type = I4/mmm (139)
Total magnetization = 0.0 μB/cell
E_form = -0.278 eV per atom

***

Record 5
La5Pd2Rh2 after structural relaxation. Source: the Alexandria database, functional PBE.

Cell lengths 7.8490, 7.9483, 8.5569 Å; angles 117.67, 90.00, 90.00 degrees
Positions (direct):
La 0.0000 0.0000 0.0000
La 0.5000 0.5000 0.0000
La 0.8342 0.8066 0.2668
La 0.1658 0.4602 0.2668
La 0.3342 0.9602 0.2668
La 0.6658 0.3066 0.2668
La 0.1658 0.1934 0.7332
La 0.8342 0.5398 0.7332
La 0.6658 0.0398 0.7332
La 0.3342 0.6934 0.7332
Pd 0.0000 0.2070 0.4140
Pd 0.5000 0.7070 0.4140
Pd 0.0000 0.7930 0.5860
Pd 0.5000 0.2930 0.5860
Rh 0.6329 0.8653 0.0000
Rh 0.3671 0.1347 0.0000
Rh 0.1329 0.6347 0.0000
Rh 0.8671 0.3653 0.0000

Properties
E = -112.3 eV per cell
DOS(E_F) = 10.54 states/eV/cell
Space-group type = Cmce (64)
Total magnetization = 0.0 μB/cell
E_form = -0.713 eV per atom

***

Record 6
LaPd3Rh after structural relaxation. Source: the Alexandria database, functional PBE.

Cell lengths 5.0344, 5.0344, 5.0344 Å; angles 90.00, 90.00, 90.00 degrees
Site moments in Bohr magnetons follow the coordinates.
Positions (direct):
Rh 0.5000 0.5000 0.5000  0.61
Pd 0.0000 0.5000 0.0000  -0.03
Pd 0.0000 0.0000 0.5000  -0.03
Pd 0.5000 0.0000 0.0000  -0.02
La 0.0000 0.0000 0.0000  -0.04

Properties
E = -22.8 eV per cell
DOS(E_F) = 4.70 states/eV/cell
Space-group type = Pm-3m (221)
Total magnetization = 0.4 μB/cell
E_form = 1.008 eV per atom